A.
InFe2Te after structural relaxation, computed with PBE.

Unit cell a=3.8951 b=3.8951 c=9.3322 alpha=90.00 beta=90.00 gamma=90.00
Closest atoms and distances in Å follow each position.
Space group I-4m2 (No. 119)
One atom of each set of equivalent atoms:
In 0.0000 0.0000 0.0000 [2 per cell]  8 Fe 2.75-3.04, 4 Te 3.04
Fe 0.0000 0.0000 0.5000 [2 per cell]  4 In 2.75, 4 Fe 3.04, 4 Te 3.04
Fe 0.0000 0.5000 0.2500 [2 per cell]  4 Te 2.75, 4 In 3.04, 4 Fe 3.04
Te 0.0000 0.5000 0.7500 [2 per cell]  8 Fe 2.75-3.04, 4 In 3.04

Computed properties:
Magnetic moment ... 9.34 μB per cell
N(E_F) ... 8.6 states/eV/cell

=====

B.
InFe2Te after structural relaxation, computed with PBE.

Unit cell a=3.4268 b=3.6102 c=6.3110 alpha=90.00 beta=90.00 gamma=90.00
Closest atoms and distances in Å follow each position.
Space group Pmmm (No. 47)
One atom of each set of equivalent atoms:
In 0.0000 0.0000 0.0000 [1 per cell]  8 Fe 2.76
Fe 0.5000 0.5000 0.1903 [2 per cell]  1 Fe 2.40, 2 Te 2.66
Te 0.5000 0.0000 0.5000 [1 per cell]  4 Fe 2.66

Computed properties:
Magnetic moment ... 4.74 μB per cell
N(E_F) ... 5.0 states/eV/cell

=====

Order of stability, best first: B, A

=====

A.
InFe2Te after structural relaxation, computed with PBE.

Unit cell a=6.6940 b=6.6940 c=6.6940 alpha=90.00 beta=90.00 gamma=90.00
Closest atoms and distances in Å follow each position.
Space group F-43m (No. 216)
One atom of each set of equivalent atoms:
In 0.0000 0.0000 0.0000 [4 per cell]  4 Te 2.90, 4 Fe 2.90
Fe 0.0000 0.0000 0.5000 [4 per cell]  4 Fe 2.90, 4 Te 2.90
Fe 0.2500 0.2500 0.2500 [4 per cell]  4 In 2.90, 4 Fe 2.90
Te 0.2500 0.2500 0.7500 [4 per cell]  4 In 2.90, 4 Fe 2.90

Computed properties:
Magnetic moment ... 20.30 μB per cell
N(E_F) ... 7.1 states/eV/cell

=====

B.
InFe2Te after structural relaxation, computed with PBE.

Unit cell a=3.1817 b=3.1817 c=7.6688 alpha=90.00 beta=90.00 gamma=90.00
Closest atoms and distances in Å follow each position.
Space group P4mm (No. 99)
One atom of each set of equivalent atoms:
In 0.0000 0.0000 0.0000 [1 per cell]  5 Fe 2.80-2.89
Fe 0.0000 0.0000 0.6237 [1 per cell]  4 Fe 2.56, 4 Te 2.72
Fe 0.5000 0.5000 0.7821 [1 per cell]  4 Fe 2.56, 1 Te 2.74, 4 In 2.80
Te 0.5000 0.5000 0.4250 [1 per cell]  5 Fe 2.72-2.74

Computed properties:
Magnetic moment ... 4.68 μB per cell
N(E_F) ... 2.3 states/eV/cell

=====

C.
InFe2Te after structural relaxation, computed with PBE.

Unit cell a=6.5273 b=6.5273 c=6.5273 alpha=90.00 beta=90.00 gamma=90.00
Closest atoms and distances in Å follow each position.
Space group Fm-3m (No. 225)
One atom of each set of equivalent atoms:
In 0.0000 0.0000 0.0000 [4 per cell]  8 Fe 2.83
Fe 0.2500 0.2500 0.2500 [8 per cell]  4 In 2.83, 4 Te 2.83
Te 0.0000 0.0000 0.5000 [4 per cell]  8 Fe 2.83

Computed properties:
Magnetic moment ... 18.59 μB per cell
N(E_F) ... 17.5 states/eV/cell

=====

D.
InFe2Te after structural relaxation, computed with PBE.

Unit cell a=8.9938 b=3.1405 c=7.0716 alpha=90.00 beta=121.85 gamma=90.00
Closest atoms and distances in Å follow each position.
Space group C2/m (No. 12)
One atom of each set of equivalent atoms:
In 0.0000 0.0000 0.0000 [2 per cell]  4 Fe 2.72
Fe 0.2190 0.5000 0.3546 [4 per cell]  2 Fe 2.41, 3 Te 2.66-2.68
Te 0.0000 0.5000 0.5000 [2 per cell]  6 Fe 2.66-2.68

Computed properties:
Magnetic moment ... 8.80 μB per cell
N(E_F) ... 7.1 states/eV/cell

=====

Order of stability, best first: B, D, C, A

=====

A.
InFe2Te after structural relaxation, computed with PBE.

Unit cell a=3.2377 b=3.2377 c=6.4196 alpha=90.00 beta=90.00 gamma=90.00
Closest atoms and distances in Å follow each position.
Space group P4/mmm (No. 123)
One atom of each set of equivalent atoms:
In 0.0000 0.0000 0.0000 [1 per cell]  8 Fe 2.85
Fe 0.5000 0.5000 0.2633 [2 per cell]  4 Te 2.75, 4 In 2.85, 1 Fe 3.04
Te 0.0000 0.0000 0.5000 [1 per cell]  8 Fe 2.75

Computed properties:
Magnetic moment ... 3.86 μB per cell
N(E_F) ... 5.9 states/eV/cell

=====

B.
InFe2Te after structural relaxation, computed with PBE.

Unit cell a=6.9233 b=6.9233 c=6.1276 alpha=90.00 beta=90.00 gamma=90.00
Closest atoms and distances in Å follow each position.
Space group I-42d (No. 122)
One atom of each set of equivalent atoms:
In 0.0000 0.0000 0.0000 [4 per cell]  4 Fe 2.74, 2 Te 3.06
Fe 0.2139 0.2500 0.6250 [8 per cell]  2 Te 2.40
Te 0.0000 0.0000 0.5000 [4 per cell]  4 Fe 2.40

Computed properties:
Magnetic moment ... 0.00 μB per cell
N(E_F) ... 37.2 states/eV/cell

=====

Order of stability, best first: A, B

=====

A.
InFeTe after structural relaxation, computed with PBE.

Unit cell a=4.4561 b=4.4561 c=4.3397 alpha=90.00 beta=90.00 gamma=120.00
Closest atoms and distances in Å follow each position.
Space group P3m1 (No. 156)
One atom of each set of equivalent atoms:
In 0.0000 0.0000 0.0000 [1 per cell]  6 Fe 3.30-3.44, 6 Te 3.37
Fe 0.3333 0.6667 0.5254 [1 per cell]  3 Te 2.58
Te 0.6667 0.3333 0.4999 [1 per cell]  3 Fe 2.58

Computed properties:
Magnetic moment ... 2.92 μB per cell
N(E_F) ... 2.4 states/eV/cell

=====

B.
InFeTe after structural relaxation, computed with PBE.

Unit cell a=3.2058 b=3.2058 c=12.4952 alpha=90.00 beta=90.00 gamma=90.00
Closest atoms and distances in Å follow each position.
Space group I4mm (No. 107)
One atom of each set of equivalent atoms:
In 0.0000 0.0000 0.0000 [2 per cell]  4 Fe 2.92, 1 Te 3.19, 4 In 3.21
Fe 0.0000 0.0000 0.3531 [2 per cell]  4 Te 2.64, 4 In 2.92
Te 0.0000 0.0000 0.7445 [2 per cell]  4 Fe 2.64

Computed properties:
Magnetic moment ... 3.15 μB per cell
N(E_F) ... 6.7 states/eV/cell

=====

Order of stability, best first: B, A